Computed, not measured: a relaxed structure of Sr2HN2 at the PBE-GGA level of DFT.

a = 6.894 Å, b = 6.894 Å, c = 3.237 Å
α = 90.00°, β = 90.00°, γ = 90.00°
Element x y z (fractional)
Sr 0.206 0.294 0.000
Sr 0.294 0.794 0.000
Sr 0.706 0.206 0.000
Sr 0.794 0.706 0.000
H 0.000 0.000 0.500
H 0.500 0.500 0.500
N 0.069 0.569 0.500
N 0.431 0.069 0.500
N 0.569 0.931 0.500
N 0.931 0.431 0.500

## Properties
Crystal system: tetragonal
E: -5.03 eV/atom
Density: 4.4 g/cm3
Size of the total moment: 0.00 μB per formula unit
Space-group type: No. 127